1.
Below is crystalline DyLuMnNi at its relaxed geometry, with properties calculated at the GGA-PBE level.

The structure in POSCAR format:
```
DyLuMnNi
1.0
4.8276 0.0000 0.0000
2.4138 4.1808 0.0000
2.4138 1.3936 3.9417
Ni Lu Mn Dy
1 1 1 1
Direct
0.2500 0.2500 0.2500
0.5000 0.5000 0.5000
0.7500 0.7500 0.7500
0.0000 0.0000 0.0000
```

Results
DFT formation energy: -0.051 eV/atom
V: 80 Å³ per cell

2.
Below is crystalline Pm8CoPb2 at its relaxed geometry, with properties calculated at the GGA-PBE level.

The structure in POSCAR format:
```
Pm8CoPb2
1.0
4.8795 0.0000 0.0000
0.0000 7.1923 0.5074
-2.4398 -2.3208 9.4434
Pm Co Pb
8 1 2
Direct
0.4073 0.4986 0.8145
0.6361 0.0251 0.2722
0.7834 0.6658 0.5668
0.9933 0.2200 0.9866
0.2166 0.3342 0.4332
0.3639 0.9749 0.7278
0.5927 0.5014 0.1855
0.0067 0.7800 0.0134
0.5000 0.0000 0.0000
0.8177 0.2235 0.6353
0.1823 0.7765 0.3647
```

Results
DFT formation energy: -0.215 eV/atom
V: 337 Å³ per cell

3.
Below is crystalline LiTlPd2 at its relaxed geometry, with properties calculated at the GGA-PBE level.

The structure in POSCAR format:
```
LiTlPd2
1.0
-3.8316 0.0869 -0.1253
0.0934 -1.4901 -3.8881
-0.1368 -3.8881 1.4868
Tl Pd Li
1 2 1
Direct
0.5000 0.5000 0.5000
0.0000 0.0000 0.5000
0.0000 0.5000 0.0000
0.5000 0.0000 0.0000
```

Results
DFT formation energy: -0.389 eV/atom
V: 67 Å³ per cell

4.
Below is crystalline La2Ga2Cu3 at its relaxed geometry, with properties calculated at the GGA-PBE level.

The structure in POSCAR format:
```
La2Ga2Cu3
1.0
4.2944 0.0000 0.0000
-2.1472 5.3755 0.0294
0.0000 -2.8116 6.0808
La Ga Cu
2 2 3
Direct
0.8527 0.7054 0.2350
0.1473 0.2946 0.7650
0.8534 0.7069 0.7466
0.1466 0.2931 0.2534
0.5000 0.0000 0.0000
0.5949 0.1899 0.4164
0.4051 0.8101 0.5836
```

Results
DFT formation energy: -0.357 eV/atom
V: 141 Å³ per cell

DOS(E_F) (states/eV/atom)
1.3036 1.1675 0.1162 0.5670
Ρ (g/cm³)
9.415 8.044 10.589 7.173